SiCl3: optimized geometry, GGA-PBE.

It has space group P4/mmm (No. 123), with a = 3.206 Å, b = 3.206 Å, c = 9.927 Å, α = 90.00°, β = 90.00° and γ = 90.00°. Symmetry generates all atoms from Si at (0.000, 0.000, 0.000), Cl at (0.000, 0.000, 0.500) and Cl at (0.500, 0.500, 0.157).

The mass density comes out at 2.2 g cm⁻³. Its uncorrected formation energy is 0.07 eV per atom.

---

Si2Cl: optimized geometry, GGA-PBE.

It has space group Pa-3 (No. 205), with a = 6.484 Å, b = 6.484 Å, c = 6.484 Å, α = 90.00°, β = 90.00° and γ = 90.00°. Symmetry generates all atoms from Si at (0.111, 0.111, 0.111) and Cl at (0.000, 0.000, 0.500).

The mass density comes out at 2.2 g cm⁻³. Its uncorrected formation energy is 0.98 eV per atom.

---

no.,E above lowest polymorph (eV per atom)
1,0.909
2,1.432